(1)
This record from the Alexandria database describes a relaxed structure of Ac2CeAg6. The functional is GGA-PBE.

abc: 3.825 8.437 8.437
angles: 120.00 90.00 90.00
Last column: magnetic moment on the atom in μB.
Positions (direct):
Ag  0.500  0.000  0.330  0.01
Ag  0.500  0.330  0.000  0.01
Ag  0.500  0.330  0.330  0.01
Ag  0.500  0.000  0.670  0.01
Ag  0.500  0.670  0.000  0.01
Ag  0.500  0.670  0.670  0.01
Ac  0.000  0.667  0.333  0.01
Ac  0.000  0.333  0.667  0.01
Ce  0.000  0.000  0.000  1.03

Properties
Density, Mg/m³: 8.742
Magnetization, μB per cell: 1.382
Energy relative to the elements, eV per atom: -0.229

(2)
This record from the Alexandria database describes a relaxed structure of AcCe2Ag. The functional is GGA-PBE.

abc: 3.778 3.778 8.610
angles: 90.00 90.00 90.00
Last column: magnetic moment on the atom in μB.
Positions (direct):
Ag  0.500  0.500  0.000  0.00
Ce  0.000  0.000  0.206  0.71
Ce  0.000  0.000  0.794  0.71
Ac  0.500  0.500  0.500  0.02

Properties
ΔE to the lowest computed polymorph, kcal/mol of atoms: 0.00
Density, Mg/m³: 8.311
Magnetization, μB per cell: 1.683
Energy relative to the elements, eV per atom: 0.067

(3)
This record from the Alexandria database describes a relaxed structure of AcCeAg. The functional is GGA-PBE.

abc: 3.771 5.620 8.924
angles: 90.00 102.20 90.00
Last column: magnetic moment on the atom in μB.
Positions (direct):
Ac  0.078  0.250  0.155  0.01
Ac  0.922  0.750  0.845  0.01
Ag  0.408  0.250  0.816  0.00
Ag  0.592  0.750  0.184  0.00
Ce  0.237  0.750  0.473  0.81
Ce  0.763  0.250  0.527  0.81

Properties
ΔE to the lowest computed polymorph, kcal/mol of atoms: 0.00
Density, Mg/m³: 8.532
Magnetization, μB per cell: 2.075
Energy relative to the elements, eV per atom: -0.062

(4)
This record from the Alexandria database describes a relaxed structure of AcCeAg. The functional is GGA-PBE.

abc: 3.844 3.844 7.009
angles: 105.92 105.92 90.00
Last column: magnetic moment on the atom in μB.
Positions (direct):
Ac  0.015  0.015  0.029  0.08
Ag  0.677  0.677  0.354  0.00
Ce  0.308  0.308  0.617  0.94

Properties
ΔE to the lowest computed polymorph, kcal/mol of atoms: 1.14
Density, Mg/m³: 8.260
Magnetization, μB per cell: 1.417
Energy relative to the elements, eV per atom: -0.013

(5)
This record from the Alexandria database describes a relaxed structure of AcCeAg. The functional is GGA-PBE.

abc: 3.847 5.212 5.212
angles: 120.00 90.00 90.00
Last column: magnetic moment on the atom in μB.
Positions (direct):
Ac  0.658  0.667  0.333  0.03
Ag  0.290  0.333  0.667  0.00
Ce  0.052  0.000  0.000  0.75

Properties
ΔE to the lowest computed polymorph, kcal/mol of atoms: 3.63
Density, Mg/m³: 8.714
Magnetization, μB per cell: 0.947
Energy relative to the elements, eV per atom: 0.095

(6)
This record from the Alexandria database describes a relaxed structure of AcCeAg3. The functional is GGA-PBE.

abc: 3.892 4.845 14.488
angles: 90.00 97.72 90.00
Last column: magnetic moment on the atom in μB.
Positions (direct):
Ag  0.677  0.250  0.355  0.01
Ag  0.623  0.750  0.245  0.00
Ag  0.476  0.250  0.951  0.00
Ag  0.524  0.750  0.049  0.00
Ag  0.323  0.750  0.645  0.01
Ag  0.377  0.250  0.755  0.00
Ce  0.790  0.250  0.581  0.99
Ce  0.210  0.750  0.419  0.99
Ac  0.075  0.250  0.149  0.00
Ac  0.925  0.750  0.851  0.00

Properties
Density, Mg/m³: 8.474
Magnetization, μB per cell: 2.641
Energy relative to the elements, eV per atom: -0.191

(7)
This record from the Alexandria database describes a relaxed structure of AcCe2Ag. The functional is GGA-PBE.

abc: 3.461 3.461 12.096
angles: 81.78 81.78 60.00
Last column: magnetic moment on the atom in μB.
Positions (direct):
Ce  0.097  0.097  0.709  0.79
Ce  0.903  0.903  0.291  0.79
Ag  0.500  0.500  0.500  0.01
Ac  0.000  0.000  0.000  -0.04

Properties
ΔE to the lowest computed polymorph, kcal/mol of atoms: 5.82
Density, Mg/m³: 8.254
Magnetization, μB per cell: 1.865
Energy relative to the elements, eV per atom: 0.320

(8)
This record from the Alexandria database describes a relaxed structure of AcCeCuAg. The functional is GGA-PBE.

abc: 5.338 5.338 5.338
angles: 60.00 60.00 60.00
Last column: magnetic moment on the atom in μB.
Positions (direct):
Ag  0.750  0.750  0.750  0.00
Cu  0.250  0.250  0.250  -0.01
Ac  0.500  0.500  0.500  0.02
Ce  0.000  0.000  0.000  0.81

Properties
Density, Mg/m³: 8.315
Magnetization, μB per cell: 0.935
Energy relative to the elements, eV per atom: -0.046

- magnetization of number 4 (AcCeAg)?
  1.417 μB per cell

Copy entry 6 word for word.
This record from the Alexandria database describes a relaxed structure of AcCeAg3. The functional is GGA-PBE.

abc: 3.892 4.845 14.488
angles: 90.00 97.72 90.00
Last column: magnetic moment on the atom in μB.
Positions (direct):
Ag  0.677  0.250  0.355  0.01
Ag  0.623  0.750  0.245  0.00
Ag  0.476  0.250  0.951  0.00
Ag  0.524  0.750  0.049  0.00
Ag  0.323  0.750  0.645  0.01
Ag  0.377  0.250  0.755  0.00
Ce  0.790  0.250  0.581  0.99
Ce  0.210  0.750  0.419  0.99
Ac  0.075  0.250  0.149  0.00
Ac  0.925  0.750  0.851  0.00

Properties
Density, Mg/m³: 8.474
Magnetization, μB per cell: 2.641
Energy relative to the elements, eV per atom: -0.191